Arrangement w

LaPrTc after structural relaxation. Source: the Alexandria database, functional PBE.

Unit cell a=3.5439 b=3.5439 c=13.8247 alpha=90.00 beta=90.00 gamma=90.00
Last column: nearest neighbours and their distance in Å.
Space group I4mm (No. 107)
One atom of each set of equivalent atoms:
La1 0.0000 0.0000 0.0000  4 Tc 3.03
Pr1 0.0000 0.0000 0.7506  4 Tc 3.05
Tc1 0.0000 0.0000 0.3763  4 La 3.03, 4 Pr 3.05

---

Arrangement x

LaPrTc after structural relaxation. Source: the Alexandria database, functional PBE.

Unit cell a=15.8089 b=3.8187 c=6.1940 alpha=90.00 beta=103.66 gamma=90.00
Last column: nearest neighbours and their distance in Å.
Space group C2/m (No. 12)
One atom of each set of equivalent atoms:
La1 0.1505 0.0000 0.3352  3 Tc 3.06-3.37
Pr1 0.0716 0.5000 0.7861  3 Tc 3.14-3.26
Tc1 0.2440 0.0000 0.8843  2 Tc 2.37

---

Which of them is most stable, and which least? Most stable: arrangement x; least stable: arrangement w.

---

Arrangement w

LaPr2Te4 after structural relaxation. Source: the Alexandria database, functional PBE.

Unit cell a=9.0772 b=9.1523 c=12.6961 alpha=90.00 beta=90.00 gamma=90.00
Last column: nearest neighbours and their distance in Å.
Space group Imma (No. 74)
One atom of each set of equivalent atoms:
La1 0.0000 0.0000 0.0000  6 Te 3.18-3.23
Pr1 0.0000 0.0000 0.5000  6 Te 3.17-3.21
Pr2 0.2500 0.2500 0.2500  6 Te 3.22-3.25
Te1 0.0000 0.0010 0.2506  3 Pr 3.17-3.22, 1 La 3.18
Te2 0.2483 0.2500 0.5062  3 Pr 3.21-3.25, 2 La 3.23

---

Arrangement x

LaPr2Te4 after structural relaxation. Source: the Alexandria database, functional PBE.

Unit cell a=4.4426 b=14.8768 c=15.3938 alpha=90.00 beta=90.00 gamma=90.00
Last column: nearest neighbours and their distance in Å.
Space group Cmcm (No. 63)
One atom of each set of equivalent atoms:
La1 0.0000 0.1226 0.2500  6 Te 3.23-3.30
Pr1 0.0000 0.3680 0.0670  6 Te 3.14-3.25
Te1 0.0000 0.0000 0.0000  4 Pr 3.14
Te2 0.0000 0.2773 0.6248  3 Pr 3.23-3.25, 2 La 3.30
Te3 0.0000 0.4649 0.2500  2 Pr 3.17, 2 La 3.23

---

Which of them is most stable, and which least? Most stable: arrangement w; least stable: arrangement x.

---

Arrangement w

LaPr3Te4 after structural relaxation. Source: the Alexandria database, functional PBE.

Unit cell a=4.4809 b=4.4809 c=30.5673 alpha=90.00 beta=90.00 gamma=120.00
Last column: nearest neighbours and their distance in Å.
Space group P6_3/mmc (No. 194)
One atom of each set of equivalent atoms:
La1 0.3333 0.6667 0.2500  6 Te 3.25
Pr1 0.0000 0.0000 0.0000  6 Te 3.20
Pr2 0.3333 0.6667 0.6234  6 Te 3.20-3.21
Te1 0.0000 0.0000 0.1854  3 Pr 3.21, 3 La 3.25
Te2 0.3333 0.6667 0.0618  6 Pr 3.20

---

Arrangement x

LaPr3Te4 after structural relaxation. Source: the Alexandria database, functional PBE.

Unit cell a=9.1667 b=12.8584 c=4.5062 alpha=90.00 beta=90.00 gamma=90.00
Last column: nearest neighbours and their distance in Å.
Space group Cmmm (No. 65)
One atom of each set of equivalent atoms:
La1 0.0000 0.0000 0.0000  6 Te 3.22
Pr1 0.0000 0.5000 0.0000  6 Te 3.20-3.21
Pr2 0.2500 0.2500 0.5000  6 Te 3.21
Te1 0.0000 0.2506 0.0000  5 Pr 3.21, 1 La 3.22
Te2 0.2484 0.5000 0.5000  4 Pr 3.20-3.21, 2 La 3.22

---

Which of them is most stable, and which least? Most stable: arrangement x; least stable: arrangement w.

---

Arrangement w

La2Pr4Th after structural relaxation. Source: the Alexandria database, functional PBE.

Unit cell a=11.9672 b=11.7696 c=7.4815 alpha=90.00 beta=101.14 gamma=90.00
Last column: nearest neighbours and their distance in Å.
Space group C2/m (No. 12)
One atom of each set of equivalent atoms:
La1 0.0000 0.0000 0.0000  2 Pr 3.29
La2 0.0000 0.0000 0.5000  6 Pr 3.12-3.43
La3 0.2500 0.2500 0.0000  6 Pr 3.48-3.67
Pr1 0.0849 0.2520 0.3376  1 Th 3.39, 2 La 3.43-3.49, 3 Pr 3.46-3.75
Pr2 0.2415 0.5000 0.7492  1 Th 3.12, 3 La 3.29-3.48, 1 Pr 3.43
Pr3 0.2475 0.5000 0.2921  1 La 3.12, 1 Th 3.32, 1 Pr 3.43
Th1 0.0000 0.5000 0.0000  2 Pr 3.32
Th2 0.0000 0.5000 0.5000  6 Pr 3.12-3.39

---

Arrangement x

La2Pr4Th after structural relaxation. Source: the Alexandria database, functional PBE.

Unit cell a=6.2572 b=12.9619 c=6.1161 alpha=90.00 beta=90.00 gamma=90.00
Last column: nearest neighbours and their distance in Å.
Space group Cmmm (No. 65)
One atom of each set of equivalent atoms:
La1 0.0000 0.1097 0.0000  1 La 2.84, 2 Pr 3.15
Pr1 0.0000 0.1925 0.5000  2 La 3.24, 2 Pr 3.47
Pr2 0.0000 0.3652 0.0000  3 La 3.15-3.31, 1 Pr 3.49, 2 Th 3.52
Th1 0.0000 0.5000 0.5000  4 Pr 3.52

---

Which of them is most stable, and which least? Most stable: arrangement w; least stable: arrangement x.

---

Arrangement w

La2PrTh2 after structural relaxation. Source: the Alexandria database, functional PBE.

Unit cell a=3.6361 b=3.6361 c=45.1279 alpha=90.00 beta=90.00 gamma=120.00
Last column: nearest neighbours and their distance in Å.
Space group R-3m (No. 166, hexagonal axes)
One atom of each set of equivalent atoms:
La1 0.0000 0.0000 0.0966  3 Th 3.61, 6 La 3.64, 3 Pr 3.79
Pr1 0.0000 0.0000 0.5000  6 Pr 3.64, 6 La 3.79
Th1 0.0000 0.0000 0.3018  9 Th 3.54-3.64, 3 La 3.61

---

Arrangement x

La2PrTh2 after structural relaxation. Source: the Alexandria database, functional PBE.

Unit cell a=4.8135 b=4.8135 c=15.4257 alpha=90.00 beta=90.00 gamma=90.00
Last column: nearest neighbours and their distance in Å.
Space group I4/mmm (No. 139)
One atom of each set of equivalent atoms:
La1 0.0000 0.0000 0.1004  1 La 3.10, 4 Th 3.33
Pr1 0.0000 0.0000 0.5000  8 La 3.74
Th1 0.0000 0.5000 0.2500  4 La 3.33, 4 Th 3.40

---

Which of them is most stable, and which least? Most stable: arrangement w; least stable: arrangement x.